# 1
ZrAu2Cl | GGA-PBE | optimized geometry Values from VASP.

Properties
D(E_F): 1.76 states/eV per cell
final energy: -4.79 eV per atom

Geometry as Quantum ESPRESSO input:
```
&SYSTEM
  ibrav = 0, nat = 4, ntyp = 3
/
ATOMIC_SPECIES
Zr 91.22 Zr.upf
Au 196.97 Au.upf
Cl 35.45 Cl.upf
ATOMIC_POSITIONS crystal
Zr 0.000 0.000 0.000
Au 0.173 0.673 0.500
Au 0.564 0.564 0.000
Cl 0.858 0.358 0.500
CELL_PARAMETERS angstrom
-1.541 2.328 7.191
1.541 -2.328 7.191
1.541 2.328 -7.191
```

***

# 2
ZrAuCl2 | GGA-PBE | optimized geometry Values from VASP.

Properties
D(E_F): 1.22 states/eV per cell
final energy: -4.69 eV per atom

Geometry as Quantum ESPRESSO input:
```
&SYSTEM
  ibrav = 0, nat = 4, ntyp = 3
/
ATOMIC_SPECIES
Zr 91.22 Zr.upf
Au 196.97 Au.upf
Cl 35.45 Cl.upf
ATOMIC_POSITIONS crystal
Zr 0.000 0.000 0.000
Au 0.834 0.334 0.500
Cl 0.147 0.647 0.500
Cl 0.491 0.491 0.000
CELL_PARAMETERS angstrom
-1.551 2.368 7.111
1.551 -2.368 7.111
1.551 2.368 -7.111
```

***

# 3
ZrAu2Cl | GGA-PBE | optimized geometry Values from VASP.

Properties
D(E_F): 2.61 states/eV per cell
final energy: -4.58 eV per atom

Geometry as Quantum ESPRESSO input:
```
&SYSTEM
  ibrav = 0, nat = 4, ntyp = 3
/
ATOMIC_SPECIES
Zr 91.22 Zr.upf
Au 196.97 Au.upf
Cl 35.45 Cl.upf
ATOMIC_POSITIONS crystal
Zr 0.000 0.000 0.000
Au 0.255 0.255 0.255
Au 0.745 0.745 0.745
Cl 0.500 0.500 0.500
CELL_PARAMETERS angstrom
1.816 1.048 7.832
-1.816 1.048 7.832
0.000 -2.096 7.832
```

***

# 4
Zr2AuCl | GGA-PBE | optimized geometry Values from VASP.

Properties
D(E_F): 6.63 states/eV per cell
final energy: -5.23 eV per atom

Geometry as Quantum ESPRESSO input:
```
&SYSTEM
  ibrav = 0, nat = 4, ntyp = 3
/
ATOMIC_SPECIES
Zr 91.22 Zr.upf
Au 196.97 Au.upf
Cl 35.45 Cl.upf
ATOMIC_POSITIONS crystal
Zr 0.000 0.000 0.000
Zr 0.250 0.250 0.250
Au 0.500 0.500 0.500
Cl 0.750 0.750 0.750
CELL_PARAMETERS angstrom
0.000 3.526 3.526
3.526 0.000 3.526
3.526 3.526 0.000
```

***

# 5
Zr2AuCl | GGA-PBE | optimized geometry Values from VASP.

Properties
D(E_F): 2.20 states/eV per cell
final energy: -6.00 eV per atom

Geometry as Quantum ESPRESSO input:
```
&SYSTEM
  ibrav = 0, nat = 4, ntyp = 3
/
ATOMIC_SPECIES
Zr 91.22 Zr.upf
Au 196.97 Au.upf
Cl 35.45 Cl.upf
ATOMIC_POSITIONS crystal
Zr 0.000 0.000 0.000
Zr 0.775 0.275 0.500
Au 0.342 0.842 0.500
Cl 0.592 0.592 0.000
CELL_PARAMETERS angstrom
-1.621 2.185 6.059
1.621 -2.185 6.059
1.621 2.185 -6.059
```

***

# 6
ZrAu2Cl | GGA-PBE | optimized geometry Values from VASP.

Properties
D(E_F): 1.20 states/eV per cell
final energy: -4.69 eV per atom

Geometry as Quantum ESPRESSO input:
```
&SYSTEM
  ibrav = 0, nat = 4, ntyp = 3
/
ATOMIC_SPECIES
Zr 91.22 Zr.upf
Au 196.97 Au.upf
Cl 35.45 Cl.upf
ATOMIC_POSITIONS crystal
Zr 0.000 0.000 0.000
Au 0.205 0.705 0.500
Au 0.795 0.295 0.500
Cl 0.500 0.500 0.000
CELL_PARAMETERS angstrom
-1.498 2.290 6.098
1.498 -2.290 6.098
1.498 2.290 -6.098
```

***

# 7
ZrAuCl | GGA-PBE | optimized geometry Values from VASP.

Properties
D(E_F): 1.37 states/eV per cell
final energy: -5.28 eV per atom

Geometry as Quantum ESPRESSO input:
```
&SYSTEM
  ibrav = 0, nat = 3, ntyp = 3
/
ATOMIC_SPECIES
Zr 91.22 Zr.upf
Au 196.97 Au.upf
Cl 35.45 Cl.upf
ATOMIC_POSITIONS crystal
Zr 0.000 0.000 0.000
Au 0.631 0.631 0.000
Cl 0.389 0.389 0.000
CELL_PARAMETERS angstrom
-1.564 1.564 7.353
1.564 -1.564 7.353
1.564 1.564 -7.353
```

***

# 8
Zr2AuCl | GGA-PBE | optimized geometry Values from VASP.

Properties
D(E_F): 3.57 states/eV per cell
final energy: -5.81 eV per atom

Geometry as Quantum ESPRESSO input:
```
&SYSTEM
  ibrav = 0, nat = 4, ntyp = 3
/
ATOMIC_SPECIES
Zr 91.22 Zr.upf
Au 196.97 Au.upf
Cl 35.45 Cl.upf
ATOMIC_POSITIONS crystal
Zr 0.000 0.000 0.000
Zr 0.500 0.000 0.500
Au 0.000 0.500 0.500
Cl 0.500 0.500 0.000
CELL_PARAMETERS angstrom
3.371 0.000 0.000
0.000 4.464 0.000
0.000 0.000 5.623
```

***

# 9
ZrAuCl | GGA-PBE | optimized geometry Values from VASP.

Properties
D(E_F): 1.38 states/eV per cell
final energy: -4.58 eV per atom

Geometry as Quantum ESPRESSO input:
```
&SYSTEM
  ibrav = 0, nat = 3, ntyp = 3
/
ATOMIC_SPECIES
Zr 91.22 Zr.upf
Au 196.97 Au.upf
Cl 35.45 Cl.upf
ATOMIC_POSITIONS crystal
Zr 0.000 0.000 0.000
Au 0.500 0.500 0.500
Cl 0.250 0.250 0.250
CELL_PARAMETERS angstrom
0.000 3.157 3.157
3.157 0.000 3.157
3.157 3.157 0.000
```

***

# 10
ZrAu2Cl | GGA-PBE | optimized geometry Values from VASP.

Properties
D(E_F): 1.00 states/eV per cell
final energy: -4.79 eV per atom

Geometry as Quantum ESPRESSO input:
```
&SYSTEM
  ibrav = 0, nat = 4, ntyp = 3
/
ATOMIC_SPECIES
Zr 91.22 Zr.upf
Au 196.97 Au.upf
Cl 35.45 Cl.upf
ATOMIC_POSITIONS crystal
Zr 0.000 0.000 0.000
Au 0.000 0.000 0.429
Au 0.500 0.500 0.215
Cl 0.500 0.500 0.814
CELL_PARAMETERS angstrom
3.139 0.000 0.000
0.000 3.139 0.000
0.000 0.000 8.817
```

***

# 11
ZrAuCl2 | GGA-PBE | optimized geometry Values from VASP.

Properties
D(E_F): 2.05 states/eV per cell
final energy: -4.31 eV per atom

Geometry as Quantum ESPRESSO input:
```
&SYSTEM
  ibrav = 0, nat = 4, ntyp = 3
/
ATOMIC_SPECIES
Zr 91.22 Zr.upf
Au 196.97 Au.upf
Cl 35.45 Cl.upf
ATOMIC_POSITIONS crystal
Zr 0.000 0.000 0.000
Au 0.500 0.500 0.000
Cl 0.250 0.750 0.500
Cl 0.750 0.250 0.500
CELL_PARAMETERS angstrom
-2.145 2.145 4.191
2.145 -2.145 4.191
2.145 2.145 -4.191
```

***

# 12
Zr2AuCl | GGA-PBE | optimized geometry Values from VASP.

Properties
D(E_F): 1.01 states/eV per cell
final energy: -6.21 eV per atom

Geometry as Quantum ESPRESSO input:
```
&SYSTEM
  ibrav = 0, nat = 4, ntyp = 3
/
ATOMIC_SPECIES
Zr 91.22 Zr.upf
Au 196.97 Au.upf
Cl 35.45 Cl.upf
ATOMIC_POSITIONS crystal
Zr 0.000 0.000 0.000
Zr 0.251 0.251 0.251
Au 0.513 0.513 0.513
Cl 0.728 0.728 0.728
CELL_PARAMETERS angstrom
1.697 0.980 9.689
-1.697 0.980 9.689
0.000 -1.960 9.689
```

***

Formation energy (no corrections)
In order: -54, -78, -33, 32, -43, -43, -70, -25, -2, -53, -42, -63
Unit: kJ per mole of atoms